1.
This record from Alexandria describes a geometry-optimized Sr2DyGa3Au12 structure. The functional is PBE.

V   427 Å³/f.u.
Formation enthalpy at 0 K   -0.3028 eV/atom
N(E_F)   0.396 states/eV per atom

Structure (CIF):
```
data_Sr2DyGa3Au12
_chemical_formula_sum 'Sr6 Dy3 Ga9 Au36'
_space_group_name_H-M_alt 'R -3 m'
_space_group_IT_number 166
_space_group_name_Hall '-R 3 2"'
_cell_length_a 6.8724
_cell_length_b 6.8724
_cell_length_c 31.2889
_cell_angle_alpha 90.00
_cell_angle_beta 90.00
_cell_angle_gamma 120.00
loop_
_atom_site_label
_atom_site_type_symbol
_atom_site_fract_x
_atom_site_fract_y
_atom_site_fract_z
Sr1 Sr 0.0000 0.0000 0.1373
Dy1 Dy 0.0000 0.0000 0.5000
Ga1 Ga 0.0000 0.5000 0.0000
Au1 Au 0.0430 0.5215 0.8922
Au2 Au 0.0602 0.5301 0.6226
```

***

2.
This record from Alexandria describes a geometry-optimized Tb2Dy2Ga4Au structure. The functional is PBE.

V   220 Å³/f.u.
Formation enthalpy at 0 K   -0.3472 eV/atom
N(E_F)   0.826 states/eV per atom

Structure (CIF):
```
data_Tb2Dy2Ga4Au
_chemical_formula_sum 'Tb4 Dy4 Ga8 Au2'
_space_group_name_H-M_alt 'I 4/m m m'
_space_group_IT_number 139
_space_group_name_Hall '-I 4 2'
_cell_length_a 7.034
_cell_length_b 7.034
_cell_length_c 8.878
_cell_angle_alpha 90.00
_cell_angle_beta 90.00
_cell_angle_gamma 90.00
loop_
_atom_site_label
_atom_site_type_symbol
_atom_site_fract_x
_atom_site_fract_y
_atom_site_fract_z
Tb1 Tb 0.000 0.500 0.250
Dy1 Dy 0.000 0.000 0.187
Ga1 Ga 0.246 0.246 0.000
Au1 Au 0.000 0.000 0.500
```

***

3.
This record from Alexandria describes a geometry-optimized TbDyGaAu structure. The functional is PBE.

V   96 Å³/f.u.
Formation enthalpy at 0 K   -0.7190 eV/atom
N(E_F)   0.905 states/eV per atom

Structure (CIF):
```
data_TbDyGaAu
_chemical_formula_sum 'Tb2 Dy2 Ga2 Au2'
_space_group_name_H-M_alt 'A m m 2'
_space_group_IT_number 38
_space_group_name_Hall 'A 2 -2'
_cell_length_a 4.533
_cell_length_b 3.808
_cell_length_c 11.173
_cell_angle_alpha 90.00
_cell_angle_beta 90.00
_cell_angle_gamma 90.00
loop_
_atom_site_label
_atom_site_type_symbol
_atom_site_fract_x
_atom_site_fract_y
_atom_site_fract_z
Tb1 Tb 0.000 0.000 0.000
Dy1 Dy 0.500 0.000 0.287
Ga1 Ga 0.000 0.000 0.726
Au1 Au 0.500 0.000 0.565
```

***

4.
This record from Alexandria describes a geometry-optimized TbDyGaAu structure. The functional is PBE.

V   94 Å³/f.u.
Formation enthalpy at 0 K   -0.6917 eV/atom
N(E_F)   0.757 states/eV per atom

Structure (CIF):
```
data_TbDyGaAu
_chemical_formula_sum 'Tb4 Dy4 Ga4 Au4'
_space_group_name_H-M_alt 'F -4 3 m'
_space_group_IT_number 216
_space_group_name_Hall 'F -4 2 3'
_cell_length_a 7.229
_cell_length_b 7.229
_cell_length_c 7.229
_cell_angle_alpha 90.00
_cell_angle_beta 90.00
_cell_angle_gamma 90.00
loop_
_atom_site_label
_atom_site_type_symbol
_atom_site_fract_x
_atom_site_fract_y
_atom_site_fract_z
Tb1 Tb 0.000 0.000 0.000
Dy1 Dy 0.000 0.000 0.500
Ga1 Ga 0.250 0.250 0.750
Au1 Au 0.250 0.250 0.250
```

***

Q: Which value of formation enthalpy at 0 K does entry 2 give?
A: -0.3472 eV/atom

***

Q: Look up the V of the second one.
A: 220 Å³/f.u.